! CaLa3As, relaxed, DFT PBE-GGA; values from VASP
! - Relative energy among the computed polymorphs: 0 meV/atom
! - Calculated formation energy: -433.7 meV/atom
! - VASP energy: -4.720 eV/atom
&SYSTEM
  ibrav = 0, nat = 5, ntyp = 3
/
ATOMIC_SPECIES
La 138.91 La.upf
As 74.92 As.upf
Ca 40.08 Ca.upf
ATOMIC_POSITIONS angstrom
La 0.0000 2.9326 0.0000
As 0.0000 0.0000 0.0000
La 0.0000 0.0000 2.9326
La 2.9326 0.0000 0.0000
Ca 2.9326 2.9326 2.9326
CELL_PARAMETERS angstrom
5.8652 0.0000 0.0000
0.0000 5.8652 0.0000
0.0000 0.0000 5.8652

! CaLaAs2, relaxed, DFT PBE-GGA; values from VASP
! - Relative energy among the computed polymorphs: 52 meV/atom
! - Calculated formation energy: -1136.8 meV/atom
! - VASP energy: -5.194 eV/atom
&SYSTEM
  ibrav = 0, nat = 4, ntyp = 3
/
ATOMIC_SPECIES
Ca 40.08 Ca.upf
La 138.91 La.upf
As 74.92 As.upf
ATOMIC_POSITIONS angstrom
Ca -5.2870 -1.9324 -2.5530
La -9.3058 -2.5734 -3.2873
As -2.6443 -0.9660 -1.2762
As -5.6167 -0.2634 -0.1044
CELL_PARAMETERS angstrom
-1.6600 -0.1844 -4.1001
-1.5354 -3.8334 -1.5961
-7.2243 0.1167 0.5294

! CaLaAs3, relaxed, DFT PBE-GGA; values from VASP
! - Relative energy among the computed polymorphs: 100 meV/atom
! - Calculated formation energy: -61.7 meV/atom
! - VASP energy: -4.237 eV/atom
&SYSTEM
  ibrav = 0, nat = 5, ntyp = 3
/
ATOMIC_SPECIES
As 74.92 As.upf
Ca 40.08 Ca.upf
La 138.91 La.upf
ATOMIC_POSITIONS angstrom
As 2.7846 0.0000 0.0000
As 0.0000 2.7846 0.0000
Ca 2.7846 2.7846 2.7846
As 0.0000 0.0000 2.7846
La 0.0000 0.0000 0.0000
CELL_PARAMETERS angstrom
5.5691 0.0000 0.0000
0.0000 5.5691 0.0000
0.0000 0.0000 5.5691

! CaLa2As2, relaxed, DFT PBE-GGA; values from VASP
! - Relative energy among the computed polymorphs: 476 meV/atom
! - Calculated formation energy: -771.1 meV/atom
! - VASP energy: -5.002 eV/atom
&SYSTEM
  ibrav = 0, nat = 5, ntyp = 3
/
ATOMIC_SPECIES
As 74.92 As.upf
La 138.91 La.upf
Ca 40.08 Ca.upf
ATOMIC_POSITIONS angstrom
As 1.4416 -3.1597 -0.7472
As 2.1479 -8.2340 0.2084
La 0.5172 -6.0543 -1.2229
La 3.0723 -5.3395 0.6841
Ca 0.0000 0.0000 0.0000
CELL_PARAMETERS angstrom
-0.7288 -2.8730 -3.5450
4.3813 -1.4434 0.2691
-0.0630 -7.0773 2.7371

! CaLa2As2, relaxed, DFT PBE-GGA; values from VASP
! - Relative energy among the computed polymorphs: 397 meV/atom
! - Calculated formation energy: -850.3 meV/atom
! - VASP energy: -5.081 eV/atom
&SYSTEM
  ibrav = 0, nat = 10, ntyp = 3
/
ATOMIC_SPECIES
La 138.91 La.upf
As 74.92 As.upf
Ca 40.08 Ca.upf
ATOMIC_POSITIONS angstrom
La -2.1856 2.9683 7.1374
As 0.4032 7.2194 3.1787
As 0.2596 1.5183 6.0053
Ca 0.0000 0.0000 0.0000
La -0.8476 5.3813 1.0762
As -0.5316 5.7469 7.3278
Ca -1.5166 4.1748 4.1068
La -0.9056 1.0896 3.0134
La -2.1276 7.2600 5.2002
As 1.1943 2.9907 1.8562
CELL_PARAMETERS angstrom
-0.8767 8.5098 -0.0637
-2.1565 -0.1602 8.2773
3.6959 0.3880 0.9704

! CaLaAs2, relaxed, DFT PBE-GGA; values from VASP
! - Relative energy among the computed polymorphs: 1043 meV/atom
! - Calculated formation energy: -146.7 meV/atom
! - VASP energy: -4.204 eV/atom
&SYSTEM
  ibrav = 0, nat = 4, ntyp = 3
/
ATOMIC_SPECIES
La 138.91 La.upf
As 74.92 As.upf
Ca 40.08 Ca.upf
ATOMIC_POSITIONS angstrom
La 20.7062 3.9353 2.3268
As 7.4168 1.4096 0.8334
As 27.7108 5.2665 3.1139
Ca 14.5417 2.7637 1.6340
CELL_PARAMETERS angstrom
9.8444 -0.0139 -0.0082
9.1529 3.6244 -0.0082
9.1529 1.7395 3.1797

! CaLaAs2, relaxed, DFT PBE-GGA; values from VASP
! - Relative energy among the computed polymorphs: 56 meV/atom
! - Calculated formation energy: -1133.6 meV/atom
! - VASP energy: -5.191 eV/atom
&SYSTEM
  ibrav = 0, nat = 4, ntyp = 3
/
ATOMIC_SPECIES
Ca 40.08 Ca.upf
As 74.92 As.upf
La 138.91 La.upf
ATOMIC_POSITIONS angstrom
Ca 5.6587 2.0665 2.8416
As 10.4948 3.8326 0.6548
As 8.4584 3.0889 2.7224
La 2.7215 0.9939 0.5458
CELL_PARAMETERS angstrom
6.0433 -0.0002 -0.0044
4.6209 3.8947 -0.0044
0.4487 0.1639 4.5245

! Ca2LaAs, relaxed, DFT PBE-GGA; values from VASP
! - Calculated formation energy: -411.1 meV/atom
! - VASP energy: -3.806 eV/atom
&SYSTEM
  ibrav = 0, nat = 4, ntyp = 3
/
ATOMIC_SPECIES
Ca 40.08 Ca.upf
As 74.92 As.upf
La 138.91 La.upf
ATOMIC_POSITIONS angstrom
Ca 0.0000 0.0000 0.0000
Ca 2.3682 2.3699 0.0000
As 0.0000 2.3699 2.6055
La 2.3682 0.0000 2.6055
CELL_PARAMETERS angstrom
4.7365 0.0000 0.0000
0.0000 4.7398 0.0000
0.0000 0.0000 5.2109

! CaLa3As, relaxed, DFT PBE-GGA; values from VASP
! - Relative energy among the computed polymorphs: 1131 meV/atom
! - Calculated formation energy: 697.4 meV/atom
! - VASP energy: -3.589 eV/atom
&SYSTEM
  ibrav = 0, nat = 5, ntyp = 3
/
ATOMIC_SPECIES
La 138.91 La.upf
Ca 40.08 Ca.upf
As 74.92 As.upf
ATOMIC_POSITIONS angstrom
La -0.6630 -2.6975 0.3723
Ca 0.0000 0.0000 0.0000
La -0.9546 -0.1286 -2.6319
La -2.5503 0.7494 0.8884
As -4.1679 -2.0767 -1.3713
CELL_PARAMETERS angstrom
-1.9092 -0.2572 -5.2638
-1.3260 -5.3951 0.7445
-5.1006 1.4988 1.7767

! Ca2LaAs, relaxed, DFT PBE-GGA; values from VASP
! - Calculated formation energy: -364.4 meV/atom
! - VASP energy: -3.759 eV/atom
&SYSTEM
  ibrav = 0, nat = 4, ntyp = 3
/
ATOMIC_SPECIES
La 138.91 La.upf
Ca 40.08 Ca.upf
As 74.92 As.upf
ATOMIC_POSITIONS angstrom
La 4.5956 2.8285 0.0000
Ca 0.0000 0.0000 0.0000
Ca 1.4272 2.8287 1.6609
As 3.1683 -0.0002 1.6609
CELL_PARAMETERS angstrom
6.3367 -0.0003 0.0000
2.8544 5.6574 0.0000
-4.5956 -2.8285 3.3217

! Ca2LaAs, relaxed, DFT PBE-GGA; values from VASP
! - Calculated formation energy: -517.9 meV/atom
! - VASP energy: -3.913 eV/atom
&SYSTEM
  ibrav = 0, nat = 4, ntyp = 3
/
ATOMIC_SPECIES
Ca 40.08 Ca.upf
La 138.91 La.upf
As 74.92 As.upf
ATOMIC_POSITIONS angstrom
Ca -0.9318 1.0611 3.9029
Ca -0.5454 -0.2562 0.6551
La -3.3217 -1.5606 3.9897
As -0.5619 -2.1461 2.9952
CELL_PARAMETERS angstrom
-4.2526 1.3831 5.5711
-3.4776 -5.0149 3.7136
6.2345 2.5458 -2.3841

! CaLaAs2, relaxed, DFT PBE-GGA; values from VASP
! - Relative energy among the computed polymorphs: 798 meV/atom
! - Calculated formation energy: -390.9 meV/atom
! - VASP energy: -4.448 eV/atom
&SYSTEM
  ibrav = 0, nat = 4, ntyp = 3
/
ATOMIC_SPECIES
La 138.91 La.upf
As 74.92 As.upf
Ca 40.08 Ca.upf
ATOMIC_POSITIONS angstrom
La 7.7390 4.4681 3.1594
As 2.5797 1.4894 1.0531
Ca 5.1593 2.9787 2.1063
As 0.0000 0.0000 0.0000
CELL_PARAMETERS angstrom
5.1593 0.0000 0.0000
2.5797 4.4681 0.0000
2.5797 1.4894 4.2126

! Ca2LaAs, relaxed, DFT PBE-GGA; values from VASP
! - Calculated formation energy: -569.7 meV/atom
! - VASP energy: -3.965 eV/atom
&SYSTEM
  ibrav = 0, nat = 4, ntyp = 3
/
ATOMIC_SPECIES
La 138.91 La.upf
Ca 40.08 Ca.upf
As 74.92 As.upf
ATOMIC_POSITIONS angstrom
La 0.0000 0.0000 5.6376
Ca 1.8595 1.9119 2.3889
As 1.8595 1.9119 7.1876
Ca 0.0000 0.0000 8.9431
CELL_PARAMETERS angstrom
3.7745 0.0495 0.0000
-0.0555 3.7744 0.0000
0.0000 0.0000 9.6629

! CaLaAs3, relaxed, DFT PBE-GGA; values from VASP
! - Relative energy among the computed polymorphs: 0 meV/atom
! - Calculated formation energy: -161.4 meV/atom
! - VASP energy: -4.337 eV/atom
&SYSTEM
  ibrav = 0, nat = 5, ntyp = 3
/
ATOMIC_SPECIES
As 74.92 As.upf
La 138.91 La.upf
Ca 40.08 Ca.upf
ATOMIC_POSITIONS angstrom
As -2.0246 0.9072 1.3824
As -1.5572 -1.7811 -1.1117
As -0.5561 1.6846 -1.9199
La -4.1379 0.8106 -1.6492
Ca 0.0000 0.0000 0.0000
CELL_PARAMETERS angstrom
-1.1123 3.3691 -3.8398
-3.1143 -3.5623 -2.2235
-4.0492 1.8143 2.7649

! Li2CaLaAs2, relaxed, DFT PBE-GGA; values from VASP
! - Calculated formation energy: -1036.5 meV/atom
! - VASP energy: -4.379 eV/atom
&SYSTEM
  ibrav = 0, nat = 6, ntyp = 4
/
ATOMIC_SPECIES
Ca 40.08 Ca.upf
As 74.92 As.upf
Li 6.94 Li.upf
La 138.91 La.upf
ATOMIC_POSITIONS angstrom
Ca -1.1699 1.5467 3.3788
As 0.3410 -1.1980 2.9739
Li -0.7564 0.2529 6.1433
La 0.0000 0.0000 0.0000
Li -2.0927 -1.1778 2.2774
As -3.1901 0.2730 5.4468
CELL_PARAMETERS angstrom
-3.8445 -2.0591 -0.3886
3.3353 -1.9591 2.0516
-2.3398 3.0933 6.7577

! Ca2LaMgAs, relaxed, DFT PBE-GGA; values from VASP
! - Calculated formation energy: -422.8 meV/atom
! - VASP energy: -3.458 eV/atom
&SYSTEM
  ibrav = 0, nat = 5, ntyp = 4
/
ATOMIC_SPECIES
Ca 40.08 Ca.upf
Mg 24.30 Mg.upf
La 138.91 La.upf
As 74.92 As.upf
ATOMIC_POSITIONS angstrom
Ca 0.4681 -0.7407 2.6598
Mg 0.4141 -4.6545 1.5794
La 1.9709 -1.9877 -0.9004
Ca -2.0248 -1.9261 -0.1801
As 0.0000 0.0000 0.0000
CELL_PARAMETERS angstrom
-4.0496 -3.8522 -0.3601
3.9418 -3.9754 -1.8007
0.9361 -1.4814 5.3196

! Ca2La4As3N2, relaxed, DFT PBE-GGA; values from VASP
! - Uncorrected formation energy: -1.253 eV per atom
! - VASP energy: -6.190 eV/atom
&SYSTEM
  ibrav = 0, nat = 11, ntyp = 4
/
ATOMIC_SPECIES
La 138.91 La.upf
N 14.01 N.upf
As 74.92 As.upf
Ca 40.08 Ca.upf
ATOMIC_POSITIONS angstrom
La -3.0699 -0.0769 0.9723
N -3.3456 -2.5314 0.8269
La -0.9421 -2.7600 1.3678
As -1.6821 -0.7710 3.8192
N -3.7879 -1.7363 8.6007
As 0.0000 0.0000 0.0000
Ca -4.2761 -2.9579 2.9397
La -4.0635 -4.1908 8.4553
Ca -2.8574 -1.3098 6.4879
La -6.1914 -1.5077 8.0598
As -5.4514 -3.4967 5.6084
CELL_PARAMETERS angstrom
-4.4706 0.6113 -1.8455
-0.2149 -4.7548 -1.0545
-2.4480 -0.1242 12.3277

! CaLaNd2As4, relaxed, DFT PBE-GGA; values from VASP
! - Calculated formation energy: -1360.8 meV/atom
! - VASP energy: -5.744 eV/atom
&SYSTEM
  ibrav = 0, nat = 8, ntyp = 4
/
ATOMIC_SPECIES
La 138.91 La.upf
As 74.92 As.upf
Nd 144.24 Nd.upf
Ca 40.08 Ca.upf
ATOMIC_POSITIONS angstrom
La 0.7460 -6.9392 3.9869
As -0.4322 1.9308 2.3548
As -1.5687 -5.3934 2.7856
Nd -2.3533 -0.2171 3.2969
As 2.6625 -4.7809 3.0600
As -0.0390 -1.7523 4.5139
Ca 0.3478 -3.2348 1.8586
Nd 1.8820 0.3961 3.5715
CELL_PARAMETERS angstrom
-3.8374 -4.3144 1.8519
4.6332 -3.0881 2.4012
-1.1670 6.6503 3.1503

! Ca2LaNpAs4, relaxed, DFT PBE-GGA; values from VASP
! - Calculated formation energy: -1085.1 meV/atom
! - VASP energy: -6.144 eV/atom
&SYSTEM
  ibrav = 0, nat = 8, ntyp = 4
/
ATOMIC_SPECIES
As 74.92 As.upf
Ca 40.08 Ca.upf
Np 237.00 Np.upf
La 138.91 La.upf
ATOMIC_POSITIONS angstrom
As -4.7481 -4.9281 -0.3120
As -0.6809 -4.8919 -2.0250
Ca -3.9208 0.0372 1.5564
As -2.5642 -0.9614 -0.9118
As -3.3778 -2.4309 3.1695
Np 0.0000 0.0000 0.0000
La -1.3620 -2.2654 -3.3524
Ca -2.0293 -3.6614 0.5722
CELL_PARAMETERS angstrom
-3.2535 1.4332 -2.3682
0.5295 -5.9639 -4.3366
-4.5881 -1.3588 5.4811

! Ca4La2As3O2, relaxed, DFT PBE-GGA; values from VASP
! - Uncorrected formation energy: -1.907 eV per atom
! - VASP energy: -5.701 eV/atom
&SYSTEM
  ibrav = 0, nat = 11, ntyp = 4
/
ATOMIC_SPECIES
As 74.92 As.upf
La 138.91 La.upf
Ca 40.08 Ca.upf
O 16.00 O.upf
ATOMIC_POSITIONS angstrom
As 0.0000 0.0000 0.0000
La 0.0000 0.0000 7.4726
Ca 0.0000 2.2937 10.3113
Ca 2.2937 0.0000 10.3113
Ca 2.2937 0.0000 1.9462
As 2.2937 2.2937 7.9732
La 2.2937 2.2937 4.7848
O 0.0000 0.0000 9.8455
Ca 0.0000 2.2937 1.9462
O 2.2937 2.2937 2.4120
As 0.0000 0.0000 4.2842
CELL_PARAMETERS angstrom
4.5873 0.0000 0.0000
0.0000 4.5873 0.0000
-2.2937 -2.2937 12.2574

! CaLa2PaAs4, relaxed, DFT PBE-GGA; values from VASP
! - Calculated formation energy: -1354.0 meV/atom
! - VASP energy: -6.348 eV/atom
&SYSTEM
  ibrav = 0, nat = 8, ntyp = 4
/
ATOMIC_SPECIES
La 138.91 La.upf
Pa 231.04 Pa.upf
As 74.92 As.upf
Ca 40.08 Ca.upf
ATOMIC_POSITIONS angstrom
La 0.0000 2.3896 3.5285
Pa 0.0000 0.0000 0.0000
As 0.0000 -0.1935 5.3225
La 2.1389 -1.2831 3.4643
As 0.0000 4.9726 1.7346
Ca 2.1389 3.6727 0.0642
As 2.1389 3.6428 5.4178
As 2.1389 1.1363 1.6393
CELL_PARAMETERS angstrom
4.2778 0.0000 0.0000
0.0000 7.3455 0.1283
0.0000 -2.5663 6.9287

! Ca3LaPa2As6, relaxed, DFT PBE-GGA; values from VASP
! - Calculated formation energy: -1246.3 meV/atom
! - VASP energy: -6.065 eV/atom
&SYSTEM
  ibrav = 0, nat = 12, ntyp = 4
/
ATOMIC_SPECIES
Ca 40.08 Ca.upf
As 74.92 As.upf
La 138.91 La.upf
Pa 231.04 Pa.upf
ATOMIC_POSITIONS angstrom
Ca -4.4818 2.8802 2.7682
Ca 2.5566 -1.3472 5.2625
As -2.3548 1.3765 1.3188
La 0.0000 0.0000 0.0000
As 1.2974 -0.8171 2.6131
As -2.4848 -1.7623 4.0248
Ca -0.9626 0.7665 4.0153
Pa -0.3107 -3.2003 2.7777
As 0.4296 0.1565 6.7119
As -3.2226 2.3501 5.4176
Pa -3.8036 -1.1024 1.5398
As 0.5596 3.2952 4.0058
CELL_PARAMETERS angstrom
-7.2804 0.9859 0.3077
3.1661 -5.2885 4.0098
2.1891 5.8356 3.7132

! Ca2LaPaAs4, relaxed, DFT PBE-GGA; values from VASP
! - Calculated formation energy: -1278.2 meV/atom
! - VASP energy: -5.906 eV/atom
&SYSTEM
  ibrav = 0, nat = 8, ntyp = 4
/
ATOMIC_SPECIES
As 74.92 As.upf
Pa 231.04 Pa.upf
Ca 40.08 Ca.upf
La 138.91 La.upf
ATOMIC_POSITIONS angstrom
As 0.0000 5.0586 1.7215
Pa 0.0000 0.0000 0.0000
Ca 2.1445 -1.2903 3.4023
As 0.0000 -0.2185 5.2188
La 2.1445 3.7104 0.0678
As 2.1445 3.7342 5.3263
Ca 0.0000 2.4201 3.4701
As 2.1445 1.1059 1.6140
CELL_PARAMETERS angstrom
4.2891 0.0000 0.0000
0.0000 7.4207 0.1356
0.0000 -2.5806 6.8046

! CaLa2As4Pd3, relaxed, DFT PBE-GGA; values from VASP
! - Calculated formation energy: -965.6 meV/atom
! - VASP energy: -5.569 eV/atom
&SYSTEM
  ibrav = 0, nat = 10, ntyp = 4
/
ATOMIC_SPECIES
Ca 40.08 Ca.upf
As 74.92 As.upf
Pd 106.42 Pd.upf
La 138.91 La.upf
ATOMIC_POSITIONS angstrom
Ca 2.2389 2.2389 5.4339
As 2.2389 2.2389 0.0000
Pd 0.0000 0.0000 5.4339
La 0.0000 2.2389 8.4347
Pd 0.0000 2.2389 1.1854
La 2.2389 0.0000 2.4330
As 0.0000 2.2389 3.7075
Pd 2.2389 0.0000 9.6823
As 2.2389 0.0000 7.1602
As 0.0000 0.0000 0.0000
CELL_PARAMETERS angstrom
4.4779 0.0000 0.0000
0.0000 4.4779 0.0000
0.0000 0.0000 10.8677

! CaLaAs2Pd2, relaxed, DFT PBE-GGA; values from VASP
! - Calculated formation energy: -1125.2 meV/atom
! - VASP energy: -5.561 eV/atom
&SYSTEM
  ibrav = 0, nat = 6, ntyp = 4
/
ATOMIC_SPECIES
As 74.92 As.upf
Pd 106.42 Pd.upf
La 138.91 La.upf
Ca 40.08 Ca.upf
ATOMIC_POSITIONS angstrom
As 2.4887 -2.0071 0.2064
Pd 2.7648 -5.4630 2.2593
La 0.0000 0.0000 0.0000
As 0.8653 -6.5118 1.0005
Pd 0.5893 -3.0558 -1.0523
Ca 0.2793 -3.4960 2.0766
CELL_PARAMETERS angstrom
-1.4646 -2.1718 -3.4592
4.2601 0.6449 0.5128
0.5585 -6.9920 4.1533

! CaLaAsPd, relaxed, DFT PBE-GGA; values from VASP
! - Calculated formation energy: -963.9 meV/atom
! - VASP energy: -5.157 eV/atom
&SYSTEM
  ibrav = 0, nat = 4, ntyp = 4
/
ATOMIC_SPECIES
Ca 40.08 Ca.upf
La 138.91 La.upf
As 74.92 As.upf
Pd 106.42 Pd.upf
ATOMIC_POSITIONS angstrom
Ca 7.7397 4.4685 3.1597
La 2.5799 1.4895 1.0532
As 0.0000 0.0000 0.0000
Pd 5.1598 2.9790 2.1065
CELL_PARAMETERS angstrom
5.1598 0.0000 0.0000
2.5799 4.4685 0.0000
2.5799 1.4895 4.2130

! CaLaPr2As4, relaxed, DFT PBE-GGA; values from VASP
! - Calculated formation energy: -1353.3 meV/atom
! - VASP energy: -5.739 eV/atom
&SYSTEM
  ibrav = 0, nat = 8, ntyp = 4
/
ATOMIC_SPECIES
Ca 40.08 Ca.upf
As 74.92 As.upf
La 138.91 La.upf
Pr 140.91 Pr.upf
ATOMIC_POSITIONS angstrom
Ca -5.0110 2.8297 2.0434
As -5.0170 4.5833 -0.4719
As -4.2712 1.1131 -2.9137
La -4.2639 -0.6409 -0.3990
As -7.5288 4.2352 3.0714
Pr -2.5251 3.1594 -1.4867
Pr -3.2723 6.6299 0.9556
As -6.7830 0.7649 0.6296
CELL_PARAMETERS angstrom
-1.7780 -0.3112 -3.9291
-6.7497 -0.9705 3.1311
-3.2723 6.6299 0.9556